1.
A plane-wave DFT calculation with PBE was carried out for a relaxed BaHfO3 crystal.

Lattice parameters (Å, degrees): 5.7316 5.7316 6.5715 64.14 64.14 60.00
Element x y z (fractional)
O (0.9398, 0.5051, 0.2124)
O (0.3427, 0.9398, 0.2124)
Ba (0.1285, 0.1285, 0.6144)
O (0.5051, 0.3427, 0.2124)
O (0.0602, 0.4949, 0.7876)
Hf (0.3415, 0.3415, 0.9754)
O (0.4949, 0.6573, 0.7876)
O (0.6573, 0.0602, 0.7876)
Ba (0.8715, 0.8715, 0.3856)
Hf (0.6585, 0.6585, 0.0246)

As for the space group: R-3, No. 148. As for the total energy: -8.594 eV per atom.



2.
A plane-wave DFT calculation with PBE was carried out for a relaxed BaHf7O15 crystal.

Lattice parameters (Å, degrees): 7.3166 7.4636 10.7314 87.48 87.98 85.29
Element x y z (fractional)
O (0.7892, 0.5605, 0.1388)
Hf (0.0794, 0.0772, 0.1413)
O (0.0998, 0.4674, 0.9638)
O (0.3816, 0.6858, 0.9503)
Hf (0.6284, 0.1199, 0.6395)
Hf (0.9086, 0.3318, 0.8658)
Hf (0.3904, 0.8641, 0.4086)
Hf (0.2878, 0.3844, 0.3437)
Hf (0.4102, 0.9444, 0.8795)
O (0.0635, 0.8329, 0.0785)
Hf (0.1709, 0.5591, 0.6035)
Hf (0.1096, 0.1038, 0.6208)
O (0.6282, 0.8975, 0.0089)
O (0.5225, 0.3672, 0.0433)
O (0.8699, 0.1383, 0.7457)
O (0.3142, 0.0971, 0.0318)
O (0.3710, 0.5905, 0.7206)
Hf (0.6401, 0.6236, 0.6500)
O (0.4946, 0.1934, 0.8055)
Hf (0.3745, 0.4233, 0.8851)
O (0.3678, 0.5905, 0.4528)
Hf (0.6009, 0.1117, 0.1263)
O (0.8627, 0.0811, 0.5202)
O (0.4924, 0.2210, 0.2910)
O (0.9138, 0.6268, 0.6536)
O (0.8251, 0.0423, 0.2492)
O (0.1252, 0.3378, 0.5017)
Hf (0.5390, 0.6614, 0.1041)
O (0.8684, 0.1720, 0.0196)
O (0.1461, 0.3378, 0.7446)
O (0.5109, 0.8645, 0.2338)
O (0.6267, 0.3775, 0.5851)
O (0.0069, 0.6353, 0.3346)
O (0.6954, 0.5044, 0.8328)
O (0.6025, 0.8704, 0.7385)
O (0.6645, 0.7818, 0.4773)
O (0.1393, 0.8411, 0.5345)
O (0.1959, 0.9618, 0.7736)
Ba (0.7867, 0.3791, 0.3701)
O (0.3978, 0.0669, 0.5386)
Ba (0.9137, 0.8170, 0.8673)
O (0.0959, 0.3209, 0.2251)
Hf (0.0578, 0.5841, 0.1402)
O (0.3251, 0.5751, 0.2086)
Hf (0.9167, 0.8754, 0.3974)
O (0.1629, 0.9783, 0.3152)

The offset from the most stable computed form comes out at 13 meV/atom. As for the space group: P1, No. 1.



3.
A plane-wave DFT calculation with PBE was carried out for a relaxed BaHfO3 crystal.

Lattice parameters (Å, degrees): 5.9043 5.9043 5.9043 120.06 120.06 89.90
Element x y z (fractional)
O (0.7501, 0.7501, 0.0000)
Hf (0.5000, 0.5000, 0.0000)
O (0.2501, 0.7499, 0.0000)
O (0.2499, 0.2499, 0.0000)
O (0.7499, 0.7499, 0.4998)
Hf (0.0000, 0.0000, 0.0000)
Ba (0.7500, 0.2500, 0.5000)
Ba (0.2500, 0.7500, 0.5000)
O (0.2501, 0.2501, 0.5002)
O (0.7499, 0.2501, 0.0000)

As for the space group: Pm-3m, No. 221. As for the total energy: -8.715 eV per atom.



4.
A plane-wave DFT calculation with PBE was carried out for a relaxed BaHfPO crystal.

Lattice parameters (Å, degrees): 4.4056 7.4118 6.4178 90.00 90.00 90.00
Element x y z (fractional)
Hf (0.5000, 0.6109, 0.5144)
Hf (0.5000, 0.3891, 0.0144)
O (0.5000, 0.3913, 0.3339)
Ba (0.0000, 0.8017, 0.9546)
P (0.0000, 0.7682, 0.4511)
P (0.0000, 0.2318, 0.9511)
O (0.5000, 0.6087, 0.8339)
Ba (0.0000, 0.1983, 0.4546)

The offset from the most stable computed form comes out at 0 meV/atom. As for the space group: Pmc2_1, No. 26.



5.
A plane-wave DFT calculation with PBE was carried out for a relaxed BaHfPO crystal.

Lattice parameters (Å, degrees): 4.4835 4.4835 9.4095 90.00 90.00 90.00
Element x y z (fractional)
O (0.7500, 0.2500, 0.0000)
Ba (0.2500, 0.7500, 0.5000)
O (0.2500, 0.7500, 0.0000)
P (0.2500, 0.2500, 0.7321)
Hf (0.7500, 0.7500, 0.0137)
P (0.7500, 0.7500, 0.2679)
Ba (0.7500, 0.2500, 0.5000)
Hf (0.2500, 0.2500, 0.9863)

The offset from the most stable computed form comes out at 590 meV/atom. As for the space group: P4/nmm, No. 129.



6.
A plane-wave DFT calculation with PBE was carried out for a relaxed BaHfPO crystal.

Lattice parameters (Å, degrees): 3.8919 6.9873 7.0662 90.00 90.00 90.00
Element x y z (fractional)
Ba (0.0000, 0.7643, 0.0088)
O (0.0000, 0.1544, 0.9919)
Hf (0.5000, 0.7479, 0.4993)
O (0.0000, 0.8456, 0.4919)
Hf (0.5000, 0.2521, 0.9993)
Ba (0.0000, 0.2357, 0.5088)
P (0.5000, 0.4952, 0.2540)
P (0.5000, 0.5048, 0.7540)

The offset from the most stable computed form comes out at 43 meV/atom. As for the space group: Pmc2_1, No. 26.



7.
A plane-wave DFT calculation with PBE was carried out for a relaxed BaHfPO crystal.

Lattice parameters (Å, degrees): 4.5275 4.5275 10.2043 90.00 90.00 90.00
Element x y z (fractional)
O (0.2500, 0.7500, 0.0000)
P (0.7500, 0.7500, 0.3830)
Ba (0.2500, 0.2500, 0.1151)
Ba (0.7500, 0.7500, 0.8849)
Hf (0.7500, 0.2500, 0.5000)
P (0.2500, 0.2500, 0.6170)
O (0.7500, 0.2500, 0.0000)
Hf (0.2500, 0.7500, 0.5000)

The offset from the most stable computed form comes out at 319 meV/atom. As for the space group: P4/nmm, No. 129.



8.
A plane-wave DFT calculation with PBE was carried out for a relaxed BaHfSi3O9 crystal.

Lattice parameters (Å, degrees): 6.7487 6.7487 9.9970 90.00 90.00 120.00
Element x y z (fractional)
Si (0.0571, 0.2810, 0.7500)
O (0.3479, 0.9271, 0.8846)
O (0.5792, 0.6521, 0.8846)
Hf (0.3333, 0.6667, 0.0000)
O (0.3479, 0.4208, 0.1154)
O (0.9495, 0.1996, 0.2500)
Si (0.2239, 0.9429, 0.7500)
Si (0.7190, 0.7761, 0.7500)
O (0.9495, 0.7500, 0.7500)
O (0.0729, 0.6521, 0.3846)
Si (0.7190, 0.9429, 0.2500)
O (0.2500, 0.0505, 0.2500)
O (0.0729, 0.4208, 0.6154)
Si (0.0571, 0.7761, 0.2500)
O (0.8004, 0.7500, 0.2500)
Ba (0.6667, 0.3333, 0.5000)
O (0.2500, 0.1996, 0.7500)
O (0.3479, 0.4208, 0.3846)
Si (0.2239, 0.2810, 0.2500)
O (0.5792, 0.9271, 0.3846)
O (0.0729, 0.6521, 0.1154)
O (0.5792, 0.9271, 0.1154)
O (0.3479, 0.9271, 0.6154)
O (0.8004, 0.0505, 0.7500)
Ba (0.6667, 0.3333, 0.0000)
O (0.5792, 0.6521, 0.6154)
Hf (0.3333, 0.6667, 0.5000)
O (0.0729, 0.4208, 0.8846)

As for the space group: P-6c2, No. 188. As for the total energy: -8.262 eV per atom.



9.
A plane-wave DFT calculation with PBE was carried out for a relaxed Ba2Hf2Os crystal.

Lattice parameters (Å, degrees): 4.4336 4.4336 9.9911 90.23 90.23 59.92
Element x y z (fractional)
Hf (0.8329, 0.8329, 0.9147)
Os (0.5000, 0.5000, 0.0000)
Ba (0.1646, 0.1646, 0.6749)
Hf (0.1671, 0.1671, 0.0853)
Ba (0.8354, 0.8354, 0.3251)

As for the space group: C2/m, No. 12. As for the total energy: -6.945 eV per atom.



10.
A plane-wave DFT calculation with PBE was carried out for a relaxed BaHfP2 crystal.

Lattice parameters (Å, degrees): 4.1268 4.1268 5.7477 90.00 90.00 90.00
Element x y z (fractional)
Hf (0.0000, 0.0000, 0.5000)
P (0.5000, 0.5000, 0.5000)
P (0.0000, 0.0000, 0.0000)
Ba (0.5000, 0.5000, 0.0000)

As for the space group: P4/mmm, No. 123. As for the total energy: -6.211 eV per atom.



11.
A plane-wave DFT calculation with PBE was carried out for a relaxed Ba2HfTaP6 crystal.

Lattice parameters (Å, degrees): 7.4179 7.4179 7.4179 52.47 52.47 52.47
Element x y z (fractional)
Ba (0.2591, 0.2591, 0.2591)
P (0.2182, 0.8367, 0.2182)
P (0.7350, 0.2820, 0.7350)
Hf (0.4847, 0.4847, 0.4847)
P (0.2820, 0.7350, 0.7350)
P (0.8367, 0.2182, 0.2182)
P (0.7350, 0.7350, 0.2820)
P (0.2182, 0.2182, 0.8367)
Ta (0.9779, 0.9779, 0.9779)
Ba (0.7553, 0.7553, 0.7553)

As for the space group: R3m, No. 160. As for the total energy: -6.439 eV per atom.



12.
A plane-wave DFT calculation with PBE was carried out for a relaxed BaHfPa crystal.

Lattice parameters (Å, degrees): 5.2453 5.2453 5.2453 60.00 60.00 60.00
Element x y z (fractional)
Ba (0.2500, 0.2500, 0.2500)
Hf (0.0000, 0.0000, 0.0000)
Pa (0.7500, 0.7500, 0.7500)

The offset from the most stable computed form comes out at 0 meV/atom. As for the space group: F-43m, No. 216.